Record 1
! In2TcCl SCAN single point on PBEsol structure; values from VASP
&SYSTEM
  ibrav = 0, nat = 4, ntyp = 3
/
ATOMIC_SPECIES
In 114.82 In.upf
Tc 98.00 Tc.upf
Cl 35.45 Cl.upf
CELL_PARAMETERS angstrom
-2.040 2.040 4.627
2.040 -2.040 4.627
2.040 2.040 -4.627
ATOMIC_POSITIONS angstrom
In 0.000 0.000 0.000
In 0.000 2.040 2.314
Tc 0.000 0.000 4.627
Cl 2.040 0.000 2.314
! Symmetry: I-4m2
! ΔE_f (raw) in meV/atom: 530
! E above lowest polymorph in meV per atom: 477.1
! M_tot in μB per formula unit: 2.21
! E_tot in eV/atom: -26.92
! Fermi-level density of states in states/eV/cell: 1.58



Record 2
! InTeCl2 SCAN single point on PBEsol structure; values from VASP
&SYSTEM
  ibrav = 0, nat = 4, ntyp = 3
/
ATOMIC_SPECIES
In 114.82 In.upf
Te 127.60 Te.upf
Cl 35.45 Cl.upf
CELL_PARAMETERS angstrom
4.147 0.000 0.000
0.000 5.612 0.000
-1.016 0.000 5.042
ATOMIC_POSITIONS angstrom
In 0.000 0.000 0.000
Te 2.895 2.806 4.227
Cl -0.126 2.806 1.855
Cl 2.040 0.000 1.612
! Symmetry: Pm
! ΔE_f (raw) in meV/atom: -520
! E above lowest polymorph in meV per atom: 0.0
! M_tot in μB per formula unit: 0.00
! E_tot in eV/atom: -22.17
! Fermi-level density of states in states/eV/cell: 0.72



Record 3
! InTeCl2 SCAN single point on PBEsol structure; values from VASP
&SYSTEM
  ibrav = 0, nat = 4, ntyp = 3
/
ATOMIC_SPECIES
In 114.82 In.upf
Te 127.60 Te.upf
Cl 35.45 Cl.upf
CELL_PARAMETERS angstrom
1.650 0.953 10.011
-1.650 0.953 10.011
0.000 -1.906 10.011
ATOMIC_POSITIONS angstrom
In 0.000 0.000 0.000
Te 0.000 0.000 15.017
Cl 0.000 0.000 2.692
Cl 0.000 0.000 27.341
! Symmetry: R-3m
! ΔE_f (raw) in meV/atom: -167
! E above lowest polymorph in meV per atom: 352.9
! M_tot in μB per formula unit: 0.00
! E_tot in eV/atom: -21.82
! Fermi-level density of states in states/eV/cell: 2.01



Record 4
! In2Te2Cl SCAN single point on PBEsol structure; values from VASP
&SYSTEM
  ibrav = 0, nat = 5, ntyp = 3
/
ATOMIC_SPECIES
In 114.82 In.upf
Te 127.60 Te.upf
Cl 35.45 Cl.upf
CELL_PARAMETERS angstrom
-2.550 2.550 5.608
2.550 -2.550 5.608
2.550 2.550 -5.608
ATOMIC_POSITIONS angstrom
In 0.000 0.000 1.345
In 0.000 0.000 9.872
Te 2.550 0.000 2.804
Te 0.000 2.550 2.804
Cl 0.000 0.000 5.608
! Symmetry: I4/mmm
! ΔE_f (raw) in meV/atom: -316
! M_tot in μB per formula unit: 0.00
! E_tot in eV/atom: -30.17
! Fermi-level density of states in states/eV/cell: 1.42